VASP calculation (PBE-GGA) on crystalline Tb2ErO3 at its relaxed geometry.

Cell lengths 3.896, 3.896, 9.568 Å; angles 90.00, 90.00, 120.00 degrees
Sites, in units of the cell vectors:
Er 0.000 0.000 0.500
O 0.000 0.000 0.000
O 0.667 0.333 0.338
O 0.333 0.667 0.662
Tb 0.333 0.667 0.167
Tb 0.667 0.333 0.833

Summary:
volume = 126 Å³/f.u.
VASP energy = -6.8798 eV per atom